1.
# LiNdHgAu, optimized geometry, DFT GGA-PBE
data_LiNdHgAu
_cell_length_a 7.1664
_cell_length_b 7.1664
_cell_length_c 7.1664
_cell_angle_alpha 90.00
_cell_angle_beta 90.00
_cell_angle_gamma 90.00
_space_group_name_H-M_alt 'F -4 3 m'
_space_group_IT_number 216
_space_group_name_Hall 'F -4 2 3'
loop_
_atom_site_label
_atom_site_fract_x
_atom_site_fract_y
_atom_site_fract_z
Li1 0.0000 0.0000 0.0000
Nd1 0.0000 0.0000 0.5000
Hg1 0.2500 0.2500 0.7500
Au1 0.2500 0.2500 0.2500
# - Density of states at the Fermi level: 12.0 states/eV per cell
# - DFT total energy: -49.67 eV for the cell shown
# - ΔE_f: -539 meV per atom
# - Spin magnetization: 0.0000 μB/atom

***

2.
# Ce2SnN, optimized geometry, DFT GGA-PBE
data_Ce2SnN
_cell_length_a 4.6539
_cell_length_b 4.6539
_cell_length_c 9.0500
_cell_angle_alpha 90.00
_cell_angle_beta 90.00
_cell_angle_gamma 90.00
_space_group_name_H-M_alt 'P 4/n m m'
_space_group_IT_number 129
loop_
_space_group_symop_operation_xyz
'x,y,z'
'-x,-y,-z'
'-y+1/2,x,z'
'y+1/2,-x,-z'
'-x+1/2,-y+1/2,z'
'x+1/2,y+1/2,-z'
'y,-x+1/2,z'
'-y,x+1/2,-z'
'x+1/2,-y,-z'
'-x+1/2,y,z'
'-y,-x,-z'
'y,x,z'
'-x,y+1/2,-z'
'x,-y+1/2,z'
'y+1/2,x+1/2,-z'
'-y+1/2,-x+1/2,z'
loop_
_atom_site_label
_atom_site_fract_x
_atom_site_fract_y
_atom_site_fract_z
Ce1 0.2500 0.2500 0.1667
Ce2 0.2500 0.7500 0.5000
Sn1 0.2500 0.2500 0.7957
N1 0.2500 0.2500 0.4084
# - Density of states at the Fermi level: 15.4 states/eV per cell
# - DFT total energy: -56.65 eV for the cell shown
# - ΔE_f (raw): -1.032 eV per atom
# - Spin magnetization: 0.2223 μB/atom

***

3.
# TbHoEr2In, optimized geometry, DFT GGA-PBE
data_TbHoEr2In
_cell_length_a 3.4854
_cell_length_b 20.3163
_cell_length_c 9.2168
_cell_angle_alpha 90.00
_cell_angle_beta 90.00
_cell_angle_gamma 90.00
_space_group_name_H-M_alt 'C m c m'
_space_group_IT_number 63
_space_group_name_Hall '-C 2c 2'
loop_
_atom_site_label
_atom_site_fract_x
_atom_site_fract_y
_atom_site_fract_z
Tb1 0.0000 0.1051 0.2500
Ho1 0.0000 0.5000 0.0000
Er1 0.0000 0.3321 0.0524
In1 0.0000 0.2617 0.7500
# - Density of states at the Fermi level: 26.1 states/eV per cell
# - DFT total energy: -82.59 eV for the cell shown
# - ΔE_f: 85 meV per atom
# - Spin magnetization: 0.0000 μB/atom

***

4.
# Rb2GeSb, optimized geometry, DFT GGA-PBE
data_Rb2GeSb
_cell_length_a 13.6590
_cell_length_b 13.6590
_cell_length_c 5.3709
_cell_angle_alpha 90.00
_cell_angle_beta 90.00
_cell_angle_gamma 90.00
_space_group_name_H-M_alt 'I -4 2 d'
_space_group_IT_number 122
_space_group_name_Hall 'I -4 2bw'
loop_
_atom_site_label
_atom_site_fract_x
_atom_site_fract_y
_atom_site_fract_z
Rb1 0.0184 0.2500 0.1250
Ge1 0.0000 0.0000 0.0000
Sb1 0.0000 0.0000 0.5000
# - Energy relative to the lowest polymorph listed for this composition: 80.5 meV per atom
# - Density of states at the Fermi level: 6.9 states/eV per cell
# - DFT total energy: -42.75 eV for the cell shown
# - ΔE_f (raw): -0.003 eV per atom
# - Spin magnetization: 0.0000 μB/atom

***

5.
# HgTe2P, optimized geometry, DFT GGA-PBE
data_HgTe2P
_cell_length_a 3.3992
_cell_length_b 6.6094
_cell_length_c 10.8218
_cell_angle_alpha 90.00
_cell_angle_beta 90.00
_cell_angle_gamma 90.00
_space_group_name_H-M_alt 'I m m m'
_space_group_IT_number 71
_space_group_name_Hall '-I 2 2'
loop_
_atom_site_label
_atom_site_fract_x
_atom_site_fract_y
_atom_site_fract_z
Hg1 0.0000 0.0000 0.0000
Te1 0.0000 0.5000 0.1800
P1 0.0000 0.0000 0.5000
# - Energy relative to the lowest polymorph listed for this composition: 189.2 meV per atom
# - Density of states at the Fermi level: 3.6 states/eV per cell
# - DFT total energy: -21.47 eV for the cell shown
# - ΔE_f (raw): 0.315 eV per atom
# - Spin magnetization: 0.0000 μB/atom

***

6.
# CeI2O6, optimized geometry, DFT GGA-PBE
data_CeI2O6
_cell_length_a 6.1344
_cell_length_b 6.1344
_cell_length_c 17.2456
_cell_angle_alpha 90.00
_cell_angle_beta 90.00
_cell_angle_gamma 120.00
_space_group_name_H-M_alt 'R 3'
_space_group_IT_number 146
_space_group_name_Hall 'R 3'
loop_
_atom_site_label
_atom_site_fract_x
_atom_site_fract_y
_atom_site_fract_z
Ce1 0.0000 0.0000 0.0000
I1 0.0000 0.0000 0.5699
I2 0.0000 0.0000 0.7906
O1 0.0284 0.5666 0.4053
O2 0.1228 0.3750 0.5738
# - Energy relative to the lowest polymorph listed for this composition: 86.3 meV per atom
# - DFT total energy: -147.60 eV for the cell shown
# - ΔE_f (raw): -1.158 eV per atom
# - Spin magnetization: 0.0000 μB/atom

***

7.
# Cr11Mo5, optimized geometry, DFT GGA-PBE
data_Cr11Mo5
_cell_length_a 5.9558
_cell_length_b 5.9631
_cell_length_c 5.9668
_cell_angle_alpha 90.00
_cell_angle_beta 90.19
_cell_angle_gamma 90.00
_space_group_name_H-M_alt 'P 1 m 1'
_space_group_IT_number 6
_space_group_name_Hall 'P -2y'
loop_
_atom_site_label
_atom_site_fract_x
_atom_site_fract_y
_atom_site_fract_z
Cr1 0.0000 0.0000 0.0000
Cr2 0.9998 0.0000 0.4897
Cr3 0.2503 0.2521 0.2463
Cr4 0.5049 0.5000 0.0001
Cr5 0.5071 0.5000 0.4902
Cr6 0.7537 0.2525 0.7422
Cr7 0.7549 0.2526 0.2480
Cr8 0.9968 0.5000 0.4916
Mo1 0.2494 0.2520 0.7416
Mo2 0.5089 0.0000 0.4903
Mo3 0.5087 0.0000 0.9986
Mo4 0.9961 0.5000 0.0010
# - Density of states at the Fermi level: 9.0 states/eV per cell
# - DFT total energy: -158.84 eV for the cell shown
# - ΔE_f: 74 meV per atom
# - Spin magnetization: 0.0068 μB/atom

***

8.
# PmCdInGa, optimized geometry, DFT GGA-PBE
data_PmCdInGa
_cell_length_a 7.2767
_cell_length_b 7.2767
_cell_length_c 7.2767
_cell_angle_alpha 90.00
_cell_angle_beta 90.00
_cell_angle_gamma 90.00
_space_group_name_H-M_alt 'F -4 3 m'
_space_group_IT_number 216
_space_group_name_Hall 'F -4 2 3'
loop_
_atom_site_label
_atom_site_fract_x
_atom_site_fract_y
_atom_site_fract_z
Pm1 0.0000 0.0000 0.0000
Cd1 0.2500 0.2500 0.2500
In1 0.0000 0.0000 0.5000
Ga1 0.2500 0.2500 0.7500
# - Energy relative to the lowest polymorph listed for this composition: 172.8 meV per atom
# - Density of states at the Fermi level: 14.0 states/eV per cell
# - DFT total energy: -49.69 eV for the cell shown
# - ΔE_f: -248 meV per atom
# - Spin magnetization: 0.0000 μB/atom

***

9.
# Mn2CrInAs, optimized geometry, DFT GGA-PBE
data_Mn2CrInAs
_cell_length_a 4.6270
_cell_length_b 4.6270
_cell_length_c 5.3352
_cell_angle_alpha 90.00
_cell_angle_beta 90.00
_cell_angle_gamma 90.00
_space_group_name_H-M_alt 'P 4/m m m'
_space_group_IT_number 123
_space_group_name_Hall '-P 4 2'
loop_
_atom_site_label
_atom_site_fract_x
_atom_site_fract_y
_atom_site_fract_z
Mn1 0.0000 0.5000 0.0000
Cr1 0.0000 0.0000 0.5000
In1 0.5000 0.5000 0.5000
As1 0.5000 0.5000 0.0000
# - Density of states at the Fermi level: 4.6 states/eV per cell
# - DFT total energy: -30.83 eV for the cell shown
# - ΔE_f: 904 meV per atom
# - Spin magnetization: 2.3493 μB/atom

***

10.
# YMgTiS4, optimized geometry, DFT GGA-PBE
data_YMgTiS4
_cell_length_a 7.4357
_cell_length_b 7.7610
_cell_length_c 10.8249
_cell_angle_alpha 90.00
_cell_angle_beta 90.00
_cell_angle_gamma 90.00
_space_group_name_H-M_alt 'I m m a'
_space_group_IT_number 74
_space_group_name_Hall '-I 2b 2'
loop_
_atom_site_label
_atom_site_fract_x
_atom_site_fract_y
_atom_site_fract_z
Y1 0.0000 0.0000 0.0000
Mg1 0.0000 0.2500 0.3720
Ti1 0.2500 0.2500 0.7500
S1 0.0000 0.0253 0.7481
S2 0.2492 0.2500 0.5188
# - Density of states at the Fermi level: 13.0 states/eV per cell
# - DFT total energy: -173.94 eV for the cell shown
# - ΔE_f (raw): -1.575 eV per atom
# - Spin magnetization: 0.1421 μB/atom

***

11.
# Ba2La2Tc, optimized geometry, DFT GGA-PBE
data_Ba2La2Tc
_cell_length_a 7.4560
_cell_length_b 7.4560
_cell_length_c 6.8375
_cell_angle_alpha 90.00
_cell_angle_beta 90.00
_cell_angle_gamma 90.00
_space_group_name_H-M_alt 'P 4/m b m'
_space_group_IT_number 127
_space_group_name_Hall '-P 4 2ab'
loop_
_atom_site_label
_atom_site_fract_x
_atom_site_fract_y
_atom_site_fract_z
Ba1 0.1881 0.3119 0.0000
La1 0.1862 0.6862 0.5000
Tc1 0.0000 0.0000 0.5000
# - Energy relative to the lowest polymorph listed for this composition: 0.0 meV per atom
# - Density of states at the Fermi level: 12.5 states/eV per cell
# - DFT total energy: -45.47 eV for the cell shown
# - ΔE_f: 266 meV per atom
# - Spin magnetization: 0.0000 μB/atom

***

12.
# PaCoPS, optimized geometry, DFT GGA-PBE
data_PaCoPS
_cell_length_a 4.0067
_cell_length_b 4.0067
_cell_length_c 8.2558
_cell_angle_alpha 90.00
_cell_angle_beta 90.00
_cell_angle_gamma 90.00
_space_group_name_H-M_alt 'P 4/n m m'
_space_group_IT_number 129
loop_
_space_group_symop_operation_xyz
'x,y,z'
'-x,-y,-z'
'-y+1/2,x,z'
'y+1/2,-x,-z'
'-x+1/2,-y+1/2,z'
'x+1/2,y+1/2,-z'
'y,-x+1/2,z'
'-y,x+1/2,-z'
'x+1/2,-y,-z'
'-x+1/2,y,z'
'-y,-x,-z'
'y,x,z'
'-x,y+1/2,-z'
'x,-y+1/2,z'
'y+1/2,x+1/2,-z'
'-y+1/2,-x+1/2,z'
loop_
_atom_site_label
_atom_site_fract_x
_atom_site_fract_y
_atom_site_fract_z
Pa1 0.2500 0.2500 0.2265
Co1 0.2500 0.7500 0.5000
P1 0.2500 0.2500 0.6425
S1 0.2500 0.7500 0.0000
# - Density of states at the Fermi level: 0.8 states/eV per cell
# - DFT total energy: -61.29 eV for the cell shown
# - ΔE_f (raw): -1.126 eV per atom
# - Spin magnetization: 0.2427 μB/atom